{
  "formula": "SbAsRh3",
  "functional": "PBE",
  "state": "relaxed",
  "dos_ef_per_ev_atom": 1.409,
  "polymorph_energy_mev_per_atom": 1194,
  "m_tot_mub_per_cell": 0.803,
  "cell": [[4.815, 0.000, 0.000], [0.000, 4.815, 0.000], [0.000, 0.000, 4.815]],
  "species": ["Sb", "As", "Rh", "Rh", "Rh"],
  "fractional_positions": [[0.000, 0.000, 0.000], [0.500, 0.500, 0.500], [0.000, 0.000, 0.500], [0.000, 0.500, 0.000], [0.500, 0.000, 0.000]]
}